VASP calculation (GGA-PBE) on CaHg2Pd6 after structural relaxation.

a b c (Å): 4.628 4.628 8.556
angles (deg): 90.00 90.00 120.00
Fractional positions:
Ca 0.000 0.000 0.000
Hg 0.333 0.667 0.230
Hg 0.667 0.333 0.770
Pd 0.000 0.000 0.339
Pd 0.000 0.000 0.661
Pd 0.333 0.667 0.553
Pd 0.333 0.667 0.878
Pd 0.667 0.333 0.122
Pd 0.667 0.333 0.447

Its density of states at the Fermi level is 4.05 states/eV/f.u. The calculation puts the formation enthalpy at 0 K at -0.27 eV/atom. Its crystal system is trigonal.